1.
Material: Ba2NaMgIn6
Method: DFT, PBE
State: relaxed

a = 11.1282 Å, b = 11.1282 Å, c = 11.1282 Å
α = 90.00°, β = 90.00°, γ = 90.00°
Closest atoms and distances in Å follow each position.
Space group Fm-3m (No. 225)
Asymmetric unit:
Ba 0.2500 0.2500 0.2500  12 In 3.93
Na 0.0000 0.0000 0.0000  6 In 2.82
Mg 0.0000 0.0000 0.5000  6 In 2.75
In 0.0000 0.0000 0.2531  1 Mg 2.75, 1 Na 2.82

As for the theoretical density: 4872 kg/m3. For the total energy, the calculation gives -2.32 eV/atom. As for the density of states at the Fermi level: 37.67 states/eV per cell.

=====

2.
Material: BaNaMg2In4
Method: DFT, PBE
State: relaxed

a = 5.0968 Å, b = 5.0968 Å, c = 30.8172 Å
α = 90.00°, β = 90.00°, γ = 120.00°
Closest atoms and distances in Å follow each position.
Space group R-3m (No. 166, hexagonal axes)
Asymmetric unit:
Ba 0.0000 0.0000 0.0000  8 In 3.57-3.83
Na 0.0000 0.0000 0.5000  8 In 3.11-3.22
Mg 0.0000 0.0000 0.2340  7 In 3.04-3.39
In 0.0000 0.0000 0.1241  4 Mg 3.04-3.39, 3 Na 3.22
In 0.0000 0.0000 0.3991  1 Na 3.11, 3 Mg 3.12, 3 In 3.45

As for the theoretical density: 4801 kg/m3. For the total energy, the calculation gives -2.36 eV/atom. As for the density of states at the Fermi level: 14.56 states/eV per cell.

=====

3.
Material: Ba2NaMg12In3
Method: DFT, PBE
State: relaxed

a = 10.9233 Å, b = 10.9233 Å, c = 14.9601 Å
α = 90.00°, β = 90.00°, γ = 120.00°
Closest atoms and distances in Å follow each position.
Space group R-3m (No. 166, hexagonal axes)
Asymmetric unit:
Ba 0.0000 0.0000 0.2341  3 In 3.49, 9 Mg 3.60-3.69
Na 0.0000 0.0000 0.5000  6 Mg 3.10
Mg 0.0104 0.5052 0.2031  5 Mg 2.98-3.24, 1 In 3.04, 1 Na 3.10
Mg 0.0492 0.5246 0.6016  6 Mg 2.98-3.32
In 0.0000 0.5000 0.0000  2 Mg 3.04

As for the theoretical density: 3009 kg/m3. For the total energy, the calculation gives -1.76 eV/atom. As for the density of states at the Fermi level: 32.05 states/eV per cell.

=====

4.
Material: BaNdMg2In2
Method: DFT, PBE
State: relaxed

a = 5.1030 Å, b = 5.1030 Å, c = 8.3911 Å
α = 90.00°, β = 90.00°, γ = 120.00°
Closest atoms and distances in Å follow each position.
Space group P-3m1 (No. 164)
Asymmetric unit:
Ba 0.0000 0.0000 0.0000  6 In 3.86, 6 Mg 3.92, 2 Nd 4.20
Nd 0.0000 0.0000 0.5000  6 Mg 3.36, 6 In 3.40
Mg 0.3333 0.6667 0.6917  3 In 2.95
In 0.3333 0.6667 0.2975  3 Mg 2.95

As for the theoretical density: 4912 kg/m3. For the total energy, the calculation gives -2.92 eV/atom. As for the density of states at the Fermi level: 3.42 states/eV per cell.

=====

5.
Material: Ba2MgInNi
Method: DFT, PBE
State: relaxed

a = 5.9617 Å, b = 5.9617 Å, c = 4.9874 Å
α = 90.00°, β = 90.00°, γ = 90.00°
Closest atoms and distances in Å follow each position.
Space group P4/mmm (No. 123)
Asymmetric unit:
Ba 0.0000 0.5000 0.0000  2 Ni 2.98
Mg 0.0000 0.0000 0.5000  2 Ni 2.49
In 0.5000 0.5000 0.5000  8 Ba 3.89, 4 Mg 4.22
Ni 0.0000 0.0000 0.0000  2 Mg 2.49

As for the theoretical density: 4426 kg/m3. For the total energy, the calculation gives -2.85 eV/atom. As for the density of states at the Fermi level: 4.92 states/eV per cell. For the offset from the most stable computed form, the calculation gives 2.79 kJ/mol of atoms.

=====

6.
Material: Ba2MgIn6Ni
Method: DFT, PBE
State: relaxed

a = 7.0970 Å, b = 7.1020 Å, c = 7.9672 Å
α = 63.75°, β = 63.55°, γ = 60.03°
Closest atoms and distances in Å follow each position.
Space group P-1 (No. 2)
Asymmetric unit:
Ba 0.2083 0.2096 0.3738  12 In 3.83-4.09, 3 Mg 4.18-4.20, 1 Ni 4.28
Mg 0.5000 0.5000 0.5000  6 In 2.93-2.94
In 0.2401 0.6796 0.8386  1 Ni 2.55
In 0.2427 0.2386 0.8379  1 Ni 2.55
In 0.3189 0.7594 0.1624  1 Ni 2.55
Ni 0.0000 0.0000 0.0000  6 In 2.55

As for the theoretical density: 5818 kg/m3. For the total energy, the calculation gives -3.04 eV/atom. As for the density of states at the Fermi level: 4.27 states/eV per cell.